# TbPuFe2

A relaxed TbPuFe2 crystal (GGA-PBE, the Alexandria database).

## Properties
DOS at the Fermi energy, states/eV/f.u.: 6.79
DFT formation energy, eV per atom: 0.1088

abc: 3.309 4.767 4.767
angles: 90.00 90.00 90.00
Sites, in units of the cell vectors:
Tb 0.500 0.500 0.500
Fe 0.000 0.000 0.500
Fe 0.000 0.500 0.000
Pu 0.500 0.000 0.000